PBE with a Hubbard U CoReBi2O6, optimized geometry; energy = -6.64 eV/atom
1.0
4.841 -2.754 0.000
4.841 2.754 0.000
-3.078 0.000 9.422
Co Re Bi O
2 2 4 12
Cartesian
1.650 0.000 2.356
4.954 0.000 7.065
4.841 -0.108 0.000
3.302 -2.646 4.711
-1.433 0.090 8.256
1.657 -0.088 5.876
4.948 -0.088 3.545
8.038 0.090 1.165
-0.290 0.319 3.124
2.108 1.652 3.589
0.573 1.098 8.291
4.496 1.652 5.833
6.032 1.098 1.130
3.589 -0.320 1.584
2.105 -1.201 3.927
0.570 -1.556 8.636
3.016 -0.320 7.838
6.895 0.319 6.298
4.499 -1.201 5.495
6.034 -1.556 0.785